(1)
Density functional theory data (GGA-PBE) for an optimized crystal structure of DyTmTl4.

Cell lengths 6.8100, 7.4044, 7.5452 Å; angles 90.00, 90.00, 90.00 degrees
Space group Cmmm (No. 65)
Symmetry-distinct sites (fractional):
Dy (0.0000, 0.0000, 0.0000) [2 per cell]
Tm (0.0000, 0.5000, 0.5000) [2 per cell]
Tl (0.2500, 0.2500, 0.2534) [8 per cell]

## Properties
The calculation puts the formation energy at 1 kJ/mol of atoms. The calculation puts the volume at 31.70 A^3/atom. Its total DFT energy (no corrections) is -3.076 eV/atom.



(2)
Density functional theory data (GGA-PBE) for an optimized crystal structure of Dy4Tm5Tl.

Cell lengths 10.5322, 10.5322, 5.7258 Å; angles 90.00, 90.00, 90.00 degrees
Space group I4mm (No. 107)
Symmetry-distinct sites (fractional):
Dy (0.0000, 0.3172, 0.0000) [8 per cell]
Tm (0.0000, 0.0000, 0.2059) [2 per cell]
Tm (0.1852, 0.1852, 0.4959) [8 per cell]
Tl (0.0000, 0.0000, 0.7238) [2 per cell]

## Properties
The value obtained for the energy above the most stable polymorph in this dataset is 1.90 eV/f.u. The calculation puts the formation energy at 13 kJ/mol of atoms. The calculation puts the volume at 31.76 A^3/atom. Its total DFT energy (no corrections) is -4.175 eV/atom.



(3)
Density functional theory data (GGA-PBE) for an optimized crystal structure of Dy6TmTl5.

Cell lengths 4.9919, 8.8283, 15.1533 Å; angles 90.00, 90.00, 90.00 degrees
Space group Immm (No. 71)
Symmetry-distinct sites (fractional):
Dy (0.0000, 0.2275, 0.0000) [4 per cell]
Dy (0.0000, 0.2631, 0.3300) [8 per cell]
Tm (0.0000, 0.0000, 0.5000) [2 per cell]
Tl (0.0000, 0.0000, 0.1786) [4 per cell]
Tl (0.0000, 0.5000, 0.1471) [4 per cell]
Tl (0.0000, 0.5000, 0.5000) [2 per cell]

## Properties
The value obtained for the energy above the most stable polymorph in this dataset is 0.00 eV/f.u. The calculation puts the formation energy at -26 kJ/mol of atoms. The calculation puts the volume at 27.83 A^3/atom. Its total DFT energy (no corrections) is -3.931 eV/atom.



(4)
Density functional theory data (GGA-PBE) for an optimized crystal structure of DyTm2Tl2.

Cell lengths 3.7377, 5.3490, 13.9731 Å; angles 90.00, 97.71, 90.00 degrees
Space group P2_1/m (No. 11)
Symmetry-distinct sites (fractional):
Dy (0.1485, 0.2500, 0.2995) [2 per cell]
Tm (0.0491, 0.7500, 0.0989) [2 per cell]
Tm (0.2384, 0.7500, 0.4764) [2 per cell]
Tl (0.3560, 0.2500, 0.7098) [2 per cell]
Tl (0.4512, 0.7500, 0.9034) [2 per cell]

## Properties
The value obtained for the energy above the most stable polymorph in this dataset is 0.02 eV/f.u. The calculation puts the formation energy at -25 kJ/mol of atoms. The calculation puts the volume at 27.68 A^3/atom. Its total DFT energy (no corrections) is -3.918 eV/atom.



(5)
Density functional theory data (GGA-PBE) for an optimized crystal structure of DyTm5Tl3.

Cell lengths 9.2647, 9.2647, 6.6570 Å; angles 90.00, 90.00, 120.00 degrees
Space group P6_3/mcm (No. 193)
Symmetry-distinct sites (fractional):
Dy (0.0000, 0.0000, 0.0000) [2 per cell]
Tm (0.0000, 0.3332, 0.2500) [6 per cell]
Tm (0.3333, 0.6667, 0.0000) [4 per cell]
Tl (0.0000, 0.3345, 0.7500) [6 per cell]

## Properties
The calculation puts the formation energy at -24 kJ/mol of atoms. The calculation puts the volume at 27.49 A^3/atom. Its total DFT energy (no corrections) is -4.029 eV/atom.



(6)
Density functional theory data (GGA-PBE) for an optimized crystal structure of Dy7TmTl4.

Cell lengths 14.9239, 5.7790, 9.7605 Å; angles 90.00, 121.58, 90.00 degrees
Space group C2/m (No. 12)
Symmetry-distinct sites (fractional):
Dy (0.0000, 0.0000, 0.0000) [2 per cell]
Dy (0.0679, 0.5000, 0.4059) [4 per cell]
Dy (0.2042, 0.5000, 0.8798) [4 per cell]
Dy (0.2434, 0.0000, 0.6964) [4 per cell]
Tm (0.0000, 0.5000, 0.0000) [2 per cell]
Tl (0.0482, 0.0000, 0.7114) [4 per cell]
Tl (0.1853, 0.0000, 0.3377) [4 per cell]

## Properties
The calculation puts the formation energy at -1 kJ/mol of atoms. The calculation puts the volume at 29.88 A^3/atom. Its total DFT energy (no corrections) is -3.857 eV/atom.



(7)
Density functional theory data (GGA-PBE) for an optimized crystal structure of DyTm3Tl.

Cell lengths 14.4325, 13.0221, 6.4645 Å; angles 90.00, 104.00, 90.00 degrees
Space group C2/c (No. 15)
Symmetry-distinct sites (fractional):
Dy (0.1047, 0.0675, 0.4625) [8 per cell]
Tm (0.0985, 0.1893, 0.9750) [8 per cell]
Tm (0.1893, 0.3134, 0.6405) [8 per cell]
Tm (0.1975, 0.4259, 0.1417) [8 per cell]
Tl (0.0000, 0.3305, 0.2500) [4 per cell]
Tl (0.0000, 0.4177, 0.7500) [4 per cell]

## Properties
The value obtained for the energy above the most stable polymorph in this dataset is 0.37 eV/f.u. The calculation puts the formation energy at -4 kJ/mol of atoms. The calculation puts the volume at 29.47 A^3/atom. Its total DFT energy (no corrections) is -4.114 eV/atom.



(8)
Density functional theory data (GGA-PBE) for an optimized crystal structure of Dy3Tm2Tl.

Cell lengths 16.9960, 6.8481, 6.1319 Å; angles 90.00, 91.42, 90.00 degrees
Space group C2/c (No. 15)
Symmetry-distinct sites (fractional):
Dy (0.0000, 0.1417, 0.2500) [4 per cell]
Dy (0.1650, 0.3762, 0.0761) [8 per cell]
Tm (0.1683, 0.1209, 0.5910) [8 per cell]
Tl (0.0000, 0.3569, 0.7500) [4 per cell]

## Properties
The value obtained for the energy above the most stable polymorph in this dataset is 0.34 eV/f.u. The calculation puts the formation energy at -5 kJ/mol of atoms. The calculation puts the volume at 29.73 A^3/atom. Its total DFT energy (no corrections) is -4.239 eV/atom.